# ZrSbRh2, optimized geometry, DFT PBE
data_ZrSbRh2
_symmetry_space_group_name_H-M 'P 1'
_symmetry_Int_Tables_number 1
_cell_length_a 4.2484
_cell_length_b 4.2484
_cell_length_c 9.2699
_cell_angle_alpha 76.75
_cell_angle_beta 76.75
_cell_angle_gamma 90.00
loop_
_symmetry_equiv_pos_as_xyz
'x,y,z'
loop_
_atom_site_label
_atom_site_type_symbol
_atom_site_fract_x
_atom_site_fract_y
_atom_site_fract_z
Sb1 Sb 0.0000 0.0000 0.0000
Sb2 Sb 0.7500 0.2500 0.5000
Rh1 Rh 0.6307 0.1250 0.2500
Rh2 Rh 0.1193 0.6250 0.2500
Rh3 Rh 0.3750 0.3693 0.7500
Rh4 Rh 0.8750 0.8807 0.7500
Zr1 Zr 0.5000 0.5000 0.0000
Zr2 Zr 0.2500 0.7500 0.5000
# VASP energy   -7.126 eV per atom
# E_form (uncorrected)   -1.1 eV/f.u.
# DOS(E_F)   0.63 states/eV/atom

=====

# ZrSbRh2, optimized geometry, DFT PBE
data_ZrSbRh2
_symmetry_space_group_name_H-M 'P 1'
_symmetry_Int_Tables_number 1
_cell_length_a 3.6373
_cell_length_b 3.3126
_cell_length_c 6.8386
_cell_angle_alpha 61.09
_cell_angle_beta 90.00
_cell_angle_gamma 90.00
loop_
_symmetry_equiv_pos_as_xyz
'x,y,z'
loop_
_atom_site_label
_atom_site_type_symbol
_atom_site_fract_x
_atom_site_fract_y
_atom_site_fract_z
Rh1 Rh 0.0000 0.0061 0.9939
Rh2 Rh 0.0000 0.4939 0.5061
Sb1 Sb 0.5000 0.2500 0.2500
Zr1 Zr 0.5000 0.7500 0.7500
# VASP energy   -7.418 eV per atom
# E_form (uncorrected)   -2.3 eV/f.u.
# DOS(E_F)   0.92 states/eV/atom

=====

# Zr2SbRh, optimized geometry, DFT PBE
data_Zr2SbRh
_symmetry_space_group_name_H-M 'P 1'
_symmetry_Int_Tables_number 1
_cell_length_a 5.7329
_cell_length_b 5.7329
_cell_length_c 5.7329
_cell_angle_alpha 142.35
_cell_angle_beta 135.10
_cell_angle_gamma 59.99
loop_
_symmetry_equiv_pos_as_xyz
'x,y,z'
loop_
_atom_site_label
_atom_site_type_symbol
_atom_site_fract_x
_atom_site_fract_y
_atom_site_fract_z
Rh1 Rh 0.4959 0.4959 0.0000
Sb1 Sb 0.2737 0.7737 0.5000
Zr1 Zr 0.9985 0.9985 0.0000
Zr2 Zr 0.7319 0.2319 0.5000
# VASP energy   -7.758 eV per atom
# E_form (uncorrected)   -2.5 eV/f.u.
# DOS(E_F)   0.36 states/eV/atom

=====

# Sc3Rh, optimized geometry, DFT PBE
data_Sc3Rh
_symmetry_space_group_name_H-M 'P 1'
_symmetry_Int_Tables_number 1
_cell_length_a 5.7649
_cell_length_b 3.4074
_cell_length_c 4.8606
_cell_angle_alpha 90.00
_cell_angle_beta 114.93
_cell_angle_gamma 107.19
loop_
_symmetry_equiv_pos_as_xyz
'x,y,z'
loop_
_atom_site_label
_atom_site_type_symbol
_atom_site_fract_x
_atom_site_fract_y
_atom_site_fract_z
Sc1 Sc 0.4143 0.7072 0.1240
Sc2 Sc 0.0000 0.5000 0.4167
Sc3 Sc 0.5857 0.2928 0.7096
Rh1 Rh 0.0000 0.0000 0.9163
# VASP energy   -7.113 eV per atom
# Formation enthalpy at 0 K   -0.526 eV per atom
# DOS(E_F)   0.99 states/eV/atom